(1)
SrFeW2: single point on PBEsol structure, SCAN.

```
SrFeW2
1.0
6.512 0.000 0.000
0.000 6.512 0.000
0.000 0.000 6.512
Sr Fe W
4 4 8
direct
0.000 0.000 0.000
0.000 0.500 0.500
0.500 0.000 0.500
0.500 0.500 0.000
0.250 0.250 0.750
0.250 0.750 0.250
0.750 0.250 0.250
0.750 0.750 0.750
0.000 0.000 0.500
0.000 0.500 0.000
0.250 0.250 0.250
0.250 0.750 0.750
0.500 0.000 0.000
0.500 0.500 0.500
0.750 0.250 0.750
0.750 0.750 0.250
```

Values from the calculation:
polymorph energy (0 for the lowest one): 0.0 meV/atom
DOS at the Fermi energy: 0.820 states/eV/atom
space group: No. 216



(2)
SrY2Fe: single point on PBEsol structure, SCAN.

```
SrY2Fe
1.0
11.763 0.000 0.000
0.000 3.631 0.000
-3.365 0.000 5.489
Sr Y Fe
2 4 2
direct
0.000 0.000 0.000
0.500 0.500 0.000
0.177 0.000 0.666
0.361 0.000 0.371
0.677 0.500 0.666
0.861 0.500 0.371
0.229 0.500 0.446
0.729 0.000 0.446
```

Values from the calculation:
polymorph energy (0 for the lowest one): 71.0 meV/atom
DOS at the Fermi energy: 0.906 states/eV/atom
space group: No. 8



(3)
Sr4YFe: single point on PBEsol structure, SCAN.

```
Sr4YFe
1.0
0.000 4.944 4.944
4.944 0.000 4.944
4.944 4.944 0.000
Sr Y Fe
4 1 1
direct
0.125 0.125 0.125
0.125 0.125 0.626
0.125 0.626 0.125
0.626 0.125 0.125
0.500 0.500 0.500
0.750 0.750 0.750
```

Values from the calculation:
DOS at the Fermi energy: 1.711 states/eV/atom
space group: No. 216



(4)
SrYFe: single point on PBEsol structure, SCAN.

```
SrYFe
1.0
3.769 0.000 0.000
-1.885 3.264 0.000
0.000 0.000 6.980
Sr Y Fe
1 1 1
direct
0.000 0.000 0.000
0.333 0.667 0.508
0.667 0.333 0.285
```

Values from the calculation:
DOS at the Fermi energy: 0.582 states/eV/atom
space group: No. 156



(5)
SrY2Fe: single point on PBEsol structure, SCAN.

```
SrY2Fe
1.0
3.720 0.000 0.000
0.000 3.720 0.000
0.000 0.000 8.295
Sr Y Fe
1 2 1
direct
0.000 0.000 0.000
0.000 0.000 0.607
0.500 0.500 0.351
0.500 0.500 0.725
```

Values from the calculation:
polymorph energy (0 for the lowest one): 0.0 meV/atom
DOS at the Fermi energy: 1.265 states/eV/atom
space group: No. 99



(6)
SrY2Fe: single point on PBEsol structure, SCAN.

```
SrY2Fe
1.0
7.562 0.000 0.000
0.000 7.562 0.000
0.000 0.000 7.562
Sr Y Fe
4 8 4
direct
0.000 0.000 0.000
0.000 0.500 0.500
0.500 0.000 0.500
0.500 0.500 0.000
0.000 0.000 0.500
0.000 0.500 0.000
0.250 0.250 0.250
0.250 0.750 0.750
0.500 0.000 0.000
0.500 0.500 0.500
0.750 0.250 0.750
0.750 0.750 0.250
0.250 0.250 0.750
0.250 0.750 0.250
0.750 0.250 0.250
0.750 0.750 0.750
```

Values from the calculation:
polymorph energy (0 for the lowest one): 310.4 meV/atom
DOS at the Fermi energy: 0.930 states/eV/atom
space group: No. 216



(7)
SrY2Fe: single point on PBEsol structure, SCAN.

```
SrY2Fe
1.0
3.671 0.000 0.000
0.000 4.033 0.000
0.000 0.000 16.149
Sr Y Fe
2 4 2
direct
0.000 0.000 0.000
0.000 0.500 0.500
0.000 0.000 0.313
0.000 0.500 0.813
0.500 0.000 0.679
0.500 0.500 0.179
0.500 0.000 0.832
0.500 0.500 0.332
```

Values from the calculation:
polymorph energy (0 for the lowest one): 34.7 meV/atom
DOS at the Fermi energy: 0.897 states/eV/atom
space group: No. 38



(8)
Sr2YFe: single point on PBEsol structure, SCAN.

```
Sr2YFe
1.0
7.758 0.000 0.000
0.000 7.758 0.000
0.000 0.000 7.758
Sr Y Fe
8 4 4
direct
0.000 0.000 0.000
0.000 0.500 0.500
0.250 0.250 0.250
0.250 0.750 0.750
0.500 0.000 0.500
0.500 0.500 0.000
0.750 0.250 0.750
0.750 0.750 0.250
0.250 0.250 0.750
0.250 0.750 0.250
0.750 0.250 0.250
0.750 0.750 0.750
0.000 0.000 0.500
0.000 0.500 0.000
0.500 0.000 0.000
0.500 0.500 0.500
```

Values from the calculation:
DOS at the Fermi energy: 0.816 states/eV/atom
space group: No. 216



(9)
SrZnFe2: single point on PBEsol structure, SCAN.

```
SrZnFe2
1.0
2.971 0.000 0.000
0.000 4.987 0.000
0.000 0.000 9.523
Sr Zn Fe
2 2 4
direct
0.000 0.000 0.000
0.500 0.500 0.500
0.000 0.500 0.799
0.500 0.000 0.299
0.000 0.000 0.525
0.000 0.500 0.208
0.500 0.000 0.708
0.500 0.500 0.025
```

Values from the calculation:
DOS at the Fermi energy: 0.412 states/eV/atom
space group: No. 44



(10)
Sr2ZnFe: single point on PBEsol structure, SCAN.

```
Sr2ZnFe
1.0
3.498 0.000 0.000
0.000 3.498 0.000
0.000 0.000 8.686
Sr Zn Fe
2 1 1
direct
0.000 0.000 0.000
0.500 0.500 0.405
0.000 0.000 0.658
0.500 0.500 0.746
```

Values from the calculation:
DOS at the Fermi energy: 0.745 states/eV/atom
space group: No. 99



(11)
SrZn3Fe: single point on PBEsol structure, SCAN.

```
SrZn3Fe
1.0
4.619 0.000 0.000
0.000 4.619 0.000
0.000 0.000 4.619
Sr Zn Fe
1 3 1
direct
0.000 0.000 0.000
0.000 0.500 0.500
0.500 0.000 0.500
0.500 0.500 0.000
0.500 0.500 0.500
```

Values from the calculation:
DOS at the Fermi energy: 0.549 states/eV/atom
space group: No. 221



(12)
SrZnFe2: single point on PBEsol structure, SCAN.

```
SrZnFe2
1.0
6.534 0.000 0.000
0.000 6.534 0.000
0.000 0.000 6.534
Sr Zn Fe
4 4 8
direct
0.000 0.000 0.000
0.000 0.500 0.500
0.500 0.000 0.500
0.500 0.500 0.000
0.250 0.250 0.750
0.250 0.750 0.250
0.750 0.250 0.250
0.750 0.750 0.750
0.000 0.000 0.500
0.000 0.500 0.000
0.250 0.250 0.250
0.250 0.750 0.750
0.500 0.000 0.000
0.500 0.500 0.500
0.750 0.250 0.750
0.750 0.750 0.250
```

Values from the calculation:
DOS at the Fermi energy: 0.451 states/eV/atom
space group: No. 216



(13)
SrZnFe: single point on PBEsol structure, SCAN.

```
SrZnFe
1.0
3.387 0.000 0.000
0.000 3.387 0.000
0.000 0.000 10.787
Sr Zn Fe
2 2 2
direct
0.000 0.000 0.000
0.500 0.500 0.500
0.000 0.000 0.281
0.500 0.500 0.781
0.000 0.000 0.715
0.500 0.500 0.215
```

Values from the calculation:
DOS at the Fermi energy: 0.711 states/eV/atom
space group: No. 107



(14)
SrZrFe: single point on PBEsol structure, SCAN.

```
SrZrFe
1.0
3.999 0.000 0.000
-1.999 3.463 0.000
0.000 0.000 5.379
Sr Zr Fe
1 1 1
direct
0.000 0.000 0.000
0.333 0.667 0.500
0.667 0.333 0.500
```

Values from the calculation:
DOS at the Fermi energy: 0.808 states/eV/atom
space group: No. 187



(15)
SrZrFe2: single point on PBEsol structure, SCAN.

```
SrZrFe2
1.0
3.272 0.000 0.000
-1.636 2.834 0.000
0.000 0.000 24.945
Sr Zr Fe
3 3 6
direct
0.000 0.000 0.000
0.333 0.667 0.667
0.667 0.333 0.333
0.000 0.000 0.500
0.333 0.667 0.167
0.667 0.333 0.833
0.000 0.000 0.238
0.000 0.000 0.762
0.333 0.667 0.428
0.333 0.667 0.905
0.667 0.333 0.095
0.667 0.333 0.572
```

Values from the calculation:
DOS at the Fermi energy: 1.464 states/eV/atom
space group: No. 166



(16)
Ta4Fe: single point on PBEsol structure, SCAN.

```
Ta4Fe
1.0
7.129 0.000 0.000
0.000 7.129 0.000
0.000 0.000 3.174
Ta Fe
8 2
direct
0.093 0.710 0.000
0.210 0.407 0.500
0.290 0.093 0.000
0.407 0.790 0.500
0.593 0.210 0.500
0.710 0.907 0.000
0.790 0.593 0.500
0.907 0.290 0.000
0.000 0.000 0.500
0.500 0.500 0.000
```

Values from the calculation:
DOS at the Fermi energy: 0.867 states/eV/atom
space group: No. 87



(17)
TaFe: single point on PBEsol structure, SCAN.

```
TaFe
1.0
3.579 0.000 0.000
0.000 3.579 0.000
0.000 0.000 8.651
Ta Fe
4 4
direct
0.000 0.250 0.375
0.000 0.750 0.625
0.500 0.250 0.125
0.500 0.750 0.875
0.000 0.250 0.875
0.000 0.750 0.125
0.500 0.250 0.625
0.500 0.750 0.375
```

Values from the calculation:
DOS at the Fermi energy: 0.731 states/eV/atom
space group: No. 141



(18)
Ta5Fe3: single point on PBEsol structure, SCAN.

```
Ta5Fe3
1.0
-4.857 4.857 2.518
4.857 -4.857 2.518
4.857 4.857 -2.518
Ta Fe
10 6
direct
0.077 0.785 0.862
0.215 0.077 0.292
0.250 0.750 0.500
0.285 0.577 0.862
0.423 0.285 0.708
0.577 0.715 0.292
0.715 0.423 0.138
0.750 0.250 0.500
0.785 0.923 0.708
0.923 0.215 0.138
0.172 0.328 0.500
0.250 0.250 0.000
0.328 0.828 0.156
0.672 0.172 0.844
0.750 0.750 0.000
0.828 0.672 0.500
```

Values from the calculation:
polymorph energy (0 for the lowest one): 77.1 meV/atom
DOS at the Fermi energy: 0.803 states/eV/atom
space group: No. 140



(19)
Ta5Fe24: single point on PBEsol structure, SCAN.

```
Ta5Fe24
1.0
-4.382 4.382 4.382
4.382 -4.382 4.382
4.382 4.382 -4.382
Ta Fe
5 24
direct
0.000 0.000 0.000
0.000 0.000 0.380
0.000 0.380 0.000
0.380 0.000 0.000
0.620 0.620 0.620
0.000 0.327 0.602
0.000 0.602 0.327
0.000 0.626 0.809
0.000 0.809 0.626
0.184 0.374 0.374
0.191 0.191 0.816
0.191 0.816 0.191
0.274 0.673 0.673
0.327 0.000 0.602
0.327 0.602 0.000
0.374 0.184 0.374
0.374 0.374 0.184
0.398 0.398 0.726
0.398 0.726 0.398
0.602 0.000 0.327
0.602 0.327 0.000
0.626 0.000 0.809
0.626 0.809 0.000
0.673 0.274 0.673
0.673 0.673 0.274
0.726 0.398 0.398
0.809 0.000 0.626
0.809 0.626 0.000
0.816 0.191 0.191
```

Values from the calculation:
DOS at the Fermi energy: 0.804 states/eV/atom
space group: No. 217



(20)
TaFe: single point on PBEsol structure, SCAN.

```
TaFe
1.0
6.052 0.000 0.000
0.000 6.052 0.000
0.000 0.000 6.052
Ta Fe
8 8
direct
0.125 0.125 0.125
0.125 0.625 0.625
0.375 0.375 0.875
0.375 0.875 0.375
0.625 0.125 0.625
0.625 0.625 0.125
0.875 0.375 0.375
0.875 0.875 0.875
0.125 0.125 0.625
0.125 0.625 0.125
0.375 0.375 0.375
0.375 0.875 0.875
0.625 0.125 0.125
0.625 0.625 0.625
0.875 0.375 0.875
0.875 0.875 0.375
```

Values from the calculation:
DOS at the Fermi energy: 0.322 states/eV/atom
space group: No. 227



no.,magnetic moment (μB/f.u.),ΔE_f (meV/atom)
1,2.181,1241
2,0.805,371
3,3.708,925
4,1.128,544
5,1.807,300
6,3.529,611
7,0.637,335
8,2.919,632
9,5.140,537
10,2.772,247
11,1.404,-12
12,5.771,613
13,2.590,253
14,0.000,718
15,3.044,759
16,0.350,-6
17,1.488,128
18,0.000,40
19,50.617,-2
20,1.046,90